# Se2ClO

Crystalline Se2ClO at its relaxed geometry (PBE, Alexandria via LeMat-Bulk).

Cell lengths 8.5374, 8.5374, 8.5374 Å; angles 21.64, 21.64, 21.64 degrees
With the nearest neighbours (Å) after each atom.
Sites, in units of the cell vectors:
Se 0.0723 0.0723 0.0723  1 O 1.81
Se 0.9277 0.9277 0.9277  1 O 1.81
Cl 0.5000 0.5000 0.5000  6 Se 3.00, 6 Cl 3.21
O 0.0000 0.0000 0.0000  2 Se 1.81

Uncorrected energy (eV/cell): -13.05
E_form (uncorrected) (kJ/mol of atoms): 17.4
Calculated volume (Å³ per atom): 18.54
Energy above the lowest structure with this stoichiometry (meV/atom): 3